No. 1
## ZnOsSCl2 (PBE)

Data for an optimized crystal structure of ZnOsSCl2.

```
5
Lattice="4.9729 0.0000 0.0000 0.0000 4.9729 0.0000 0.0000 0.0000 4.4217" Properties=species:S:1:pos:R:3 pbc="T T T"
Zn 0.0000 0.0000 0.0000
Os 2.4865 2.4865 2.2108
S 2.4865 2.4865 0.0000
Cl 0.0000 2.4865 2.2108
Cl 2.4865 0.0000 2.2108
```

Summary:
* spin magnetization: 0.00 Bohr magnetons per cell
* crystal system: tetragonal
* formation energy without anion corrections: 240 meV per atom
* calculated total energy: -19.12 eV for the cell shown
* energy above the most stable polymorph in this dataset: 0.000 eV per atom

No. 2
## MgMnZn2 (PBE)

Data for an optimized crystal structure of MgMnZn2.

```
16
Lattice="6.2913 0.0000 0.0000 0.0000 6.2913 0.0000 0.0000 0.0000 6.2913" Properties=species:S:1:pos:R:3 pbc="T T T"
Mg 0.0000 0.0000 0.0000
Mg 0.0000 3.1457 3.1457
Mg 3.1457 0.0000 3.1457
Mg 3.1457 3.1457 0.0000
Mn 1.5728 1.5728 1.5728
Mn 1.5728 4.7185 4.7185
Mn 4.7185 1.5728 4.7185
Mn 4.7185 4.7185 1.5728
Zn 0.0000 0.0000 3.1457
Zn 0.0000 3.1457 0.0000
Zn 1.5728 1.5728 4.7185
Zn 1.5728 4.7185 1.5728
Zn 3.1457 0.0000 0.0000
Zn 3.1457 3.1457 3.1457
Zn 4.7185 1.5728 1.5728
Zn 4.7185 4.7185 4.7185
```

Summary:
* spin magnetization: 14.12 Bohr magnetons per cell
* crystal system: cubic
* calculated total energy: -51.77 eV for the cell shown
* calculated formation energy: 2.1 kcal/mol of atoms